Density functional theory data (PBE-GGA) for a relaxed LiMgTa3 crystal.

Output
V = 22.0 Å³ per atom
ΔH_f (0 K) = 2.00 eV per atom
N(E_F) = 8.5 states/eV/cell
final energy = -5.811 eV per atom
density = 8.66 g/cm3
relative energy among the computed polymorphs = 887.8 meV/atom

a b c (Å): 4.7917 4.7917 4.7917
angles (deg): 90.00 90.00 90.00
Closest atoms and distances in Å follow each position.
Positions (direct):
Mg 0.0000 0.0000 0.0000  6 Ta 2.40
Li 0.5000 0.5000 0.5000  12 Ta 3.39
Ta 0.0000 0.5000 0.0000  2 Mg 2.40
Ta 0.0000 0.0000 0.5000  2 Mg 2.40
Ta 0.5000 0.0000 0.0000  2 Mg 2.40